No. 1
Below is Tm2In9Ga after structural relaxation, with properties calculated at the GGA-PBE level.

The structure in CIF format:
```
data_Tm2In9Ga
_chemical_formula_sum 'Tm2 In9 Ga1'
_space_group_name_H-M_alt 'P 4/m m m'
_space_group_IT_number 123
_space_group_name_Hall '-P 4 2'
_cell_length_a 4.6099
_cell_length_b 4.6099
_cell_length_c 13.9977
_cell_angle_alpha 90.00
_cell_angle_beta 90.00
_cell_angle_gamma 90.00
loop_
_atom_site_label
_atom_site_type_symbol
_atom_site_fract_x
_atom_site_fract_y
_atom_site_fract_z
_atom_site_occupancy
Tm1 Tm 0.0000 0.0000 0.1633 1
In1 In 0.0000 0.5000 0.0000 1
In2 In 0.0000 0.5000 0.3347 1
In3 In 0.5000 0.5000 0.1670 1
In4 In 0.5000 0.5000 0.5000 1
Ga1 Ga 0.0000 0.0000 0.5000 1
```

Properties
- DFT formation energy: -0.2074 eV per atom
- VASP energy: -3.26 eV per atom

=====

No. 2
Below is Tm2InGa after structural relaxation, with properties calculated at the GGA-PBE level.

The structure in CIF format:
```
data_Tm2InGa
_chemical_formula_sum 'Tm2 In1 Ga1'
_space_group_name_H-M_alt 'P 4/m m m'
_space_group_IT_number 123
_space_group_name_Hall '-P 4 2'
_cell_length_a 3.4474
_cell_length_b 3.4474
_cell_length_c 8.0063
_cell_angle_alpha 90.00
_cell_angle_beta 90.00
_cell_angle_gamma 90.00
loop_
_atom_site_label
_atom_site_type_symbol
_atom_site_fract_x
_atom_site_fract_y
_atom_site_fract_z
_atom_site_occupancy
Tm1 Tm 0.0000 0.0000 0.2316 1
In1 In 0.5000 0.5000 0.5000 1
Ga1 Ga 0.5000 0.5000 0.0000 1
```

Properties
- DFT formation energy: -0.4930 eV per atom
- Energy above the lowest structure with this stoichiometry: 0.000 eV/atom
- VASP energy: -4.17 eV per atom

=====

- Among the records above, which one has the highest DFT formation energy?
  Tm2In9Ga